Model i:
The following is a PBE calculation of a relaxed Ba3GeS5 crystal, from Alexandria via LeMat-Bulk.

Values from the calculation:
The density of states at the Fermi level comes out at 0.00 states/eV per cell.

Cell lengths 8.561, 8.561, 9.213 Å; angles 117.68, 117.68, 90.00 degrees
Element x y z (fractional)
Ba  0.665  0.165  0.000
Ba  0.335  0.835  0.000
Ba  0.835  0.665  0.000
Ba  0.165  0.335  0.000
Ba  0.250  0.250  0.500
Ba  0.750  0.750  0.500
Ge  0.750  0.250  0.500
Ge  0.250  0.750  0.500
S  0.992  0.492  0.697
S  0.705  0.205  0.697
S  0.205  0.992  0.697
S  0.492  0.705  0.697
S  0.008  0.508  0.303
S  0.295  0.795  0.303
S  0.795  0.008  0.303
S  0.508  0.295  0.303
S  0.500  0.500  0.000
S  0.000  0.000  0.000

=====

Model ii:
The following is a PBE calculation of a relaxed Ba3GeS5 crystal, from Alexandria via LeMat-Bulk.

Values from the calculation:
The density of states at the Fermi level comes out at 0.00 states/eV per cell.

Cell lengths 8.775, 9.649, 12.182 Å; angles 90.00, 90.00, 90.00 degrees
Element x y z (fractional)
Ba  0.922  0.518  0.316
Ba  0.578  0.982  0.816
Ba  0.078  0.018  0.684
Ba  0.422  0.482  0.184
Ba  0.078  0.482  0.684
Ba  0.422  0.018  0.184
Ba  0.922  0.982  0.316
Ba  0.578  0.518  0.816
Ba  0.384  0.750  0.482
Ba  0.116  0.750  0.982
Ba  0.616  0.250  0.518
Ba  0.884  0.250  0.018
Ge  0.696  0.750  0.097
Ge  0.804  0.750  0.597
Ge  0.304  0.250  0.903
Ge  0.196  0.250  0.403
S  0.824  0.561  0.054
S  0.676  0.939  0.554
S  0.176  0.061  0.946
S  0.324  0.439  0.446
S  0.176  0.439  0.946
S  0.324  0.061  0.446
S  0.824  0.939  0.054
S  0.676  0.561  0.554
S  0.483  0.750  0.000
S  0.017  0.750  0.500
S  0.517  0.250  0.000
S  0.983  0.250  0.500
S  0.651  0.750  0.278
S  0.849  0.750  0.778
S  0.349  0.250  0.722
S  0.151  0.250  0.222
S  0.183  0.750  0.235
S  0.317  0.750  0.735
S  0.817  0.250  0.765
S  0.683  0.250  0.265

=====

model ii ends up most stable, edging out the next structure by 0.022 eV/atom.

=====

Model i:
The following is a PBE calculation of a relaxed Ba2GeS crystal, from Alexandria via LeMat-Bulk.

Values from the calculation:
The density of states at the Fermi level comes out at 2.72 states/eV per cell.

Cell lengths 5.669, 5.669, 5.669 Å; angles 60.00, 60.00, 60.00 degrees
Site moments in Bohr magnetons follow the coordinates.
Element x y z (fractional)
S  0.000  0.000  0.000  0.18
Ge  0.500  0.500  0.500  0.56
Ba  0.250  0.250  0.250  0.09
Ba  0.750  0.750  0.750  0.09

=====

Model ii:
The following is a PBE calculation of a relaxed Ba2GeS crystal, from Alexandria via LeMat-Bulk.

Values from the calculation:
The density of states at the Fermi level comes out at 1.60 states/eV per cell.

Cell lengths 8.409, 8.409, 7.537 Å; angles 56.09, 56.09, 90.00 degrees
Site moments in Bohr magnetons follow the coordinates.
Element x y z (fractional)
S  0.500  0.500  0.000  0.04
S  0.250  0.750  0.500  0.04
Ge  0.000  0.000  0.000  0.60
Ge  0.750  0.250  0.500  0.60
Ba  0.595  0.125  0.250  0.08
Ba  0.155  0.625  0.250  0.08
Ba  0.375  0.405  0.750  0.08
Ba  0.875  0.845  0.750  0.08

=====

model ii ends up most stable, edging out the next structure by 0.026 eV/atom.

=====

Model i:
The following is a PBE calculation of a relaxed Ba2GeS4 crystal, from Alexandria via LeMat-Bulk.

Values from the calculation:
The density of states at the Fermi level comes out at 0.00 states/eV per cell.

Cell lengths 6.899, 9.033, 12.741 Å; angles 90.00, 90.00, 90.00 degrees
Element x y z (fractional)
Ba  0.750  0.876  0.071
Ba  0.250  0.124  0.929
Ba  0.750  0.376  0.429
Ba  0.250  0.624  0.571
Ba  0.750  0.515  0.830
Ba  0.250  0.485  0.170
Ba  0.750  0.015  0.670
Ba  0.250  0.985  0.330
Ge  0.750  0.275  0.075
Ge  0.250  0.725  0.925
Ge  0.750  0.775  0.425
Ge  0.250  0.225  0.575
S  0.750  0.519  0.089
S  0.250  0.481  0.911
S  0.750  0.019  0.411
S  0.250  0.981  0.589
S  0.750  0.186  0.911
S  0.250  0.814  0.089
S  0.750  0.686  0.589
S  0.250  0.314  0.411
S  0.487  0.176  0.147
S  0.987  0.824  0.853
S  0.013  0.676  0.353
S  0.513  0.324  0.647
S  0.513  0.824  0.853
S  0.013  0.176  0.147
S  0.987  0.324  0.647
S  0.487  0.676  0.353

=====

Model ii:
The following is a PBE calculation of a relaxed Ba2GeS4 crystal, from Alexandria via LeMat-Bulk.

Values from the calculation:
The density of states at the Fermi level comes out at 3.64 states/eV per cell.

Cell lengths 4.895, 4.895, 8.474 Å; angles 73.21, 73.21, 90.00 degrees
Element x y z (fractional)
S  0.156  0.156  0.687
S  0.844  0.844  0.313
S  0.000  0.500  0.000
S  0.500  0.000  0.000
Ge  0.000  0.000  0.000
Ba  0.361  0.361  0.277
Ba  0.639  0.639  0.723

=====

Model iii:
The following is a PBE calculation of a relaxed Ba2GeS4 crystal, from Alexandria via LeMat-Bulk.

Values from the calculation:
The density of states at the Fermi level comes out at 0.00 states/eV per cell.

Cell lengths 6.907, 6.883, 8.962 Å; angles 90.00, 108.45, 90.00 degrees
Element x y z (fractional)
Ba  0.715  0.750  0.045
Ba  0.285  0.250  0.955
Ba  0.220  0.250  0.429
Ba  0.780  0.750  0.571
Ge  0.287  0.750  0.209
Ge  0.713  0.250  0.791
S  0.498  0.496  0.270
S  0.132  0.750  0.949
S  0.868  0.250  0.051
S  0.498  0.004  0.270
S  0.917  0.250  0.640
S  0.502  0.996  0.730
S  0.502  0.504  0.730
S  0.083  0.750  0.360

=====

model iii ends up most stable, edging out the next structure by 0.022 eV/atom.

=====

Model i:
The following is a PBE calculation of a relaxed BaGe3Sb crystal, from Alexandria via LeMat-Bulk.

Values from the calculation:
The density of states at the Fermi level comes out at 4.36 states/eV per cell.

Cell lengths 5.437, 5.437, 5.437 Å; angles 90.00, 90.00, 90.00 degrees
Element x y z (fractional)
Sb  0.000  0.000  0.000
Ge  0.000  0.500  0.000
Ge  0.000  0.000  0.500
Ge  0.500  0.000  0.000
Ba  0.500  0.500  0.500

=====

Model ii:
The following is a PBE calculation of a relaxed BaGe3Sb crystal, from Alexandria via LeMat-Bulk.

Values from the calculation:
The density of states at the Fermi level comes out at 7.76 states/eV per cell.

Cell lengths 5.738, 5.738, 5.738 Å; angles 90.00, 90.00, 90.00 degrees
Element x y z (fractional)
Sb  0.500  0.500  0.500
Ge  0.000  0.500  0.000
Ge  0.000  0.000  0.500
Ge  0.500  0.000  0.000
Ba  0.000  0.000  0.000

=====

model i ends up most stable, edging out the next structure by 1.061 eV/atom.